The following is a DFT calculation (PBE-GGA) of a relaxed structure of Ti6ZnPd12.

- Total moment: 0.00 μB per cell
- Symmetry: R-3, No. 148
- ΔH_f (0 K): -522 meV/atom

Cell: 7.395 7.395 7.395 Å, 110.91 110.91 110.91°
Fractional positions:
1 Pd 0.264 0.890 0.834
2 Pd 0.674 0.529 0.798
3 Pd 0.166 0.736 0.110
4 Pd 0.798 0.674 0.529
5 Pd 0.202 0.326 0.471
6 Pd 0.529 0.798 0.674
7 Pd 0.110 0.166 0.736
8 Pd 0.834 0.264 0.890
9 Pd 0.890 0.834 0.264
10 Pd 0.471 0.202 0.326
11 Pd 0.326 0.471 0.202
12 Pd 0.736 0.110 0.166
13 Zn 0.000 0.000 0.000
14 Ti 0.374 0.088 0.594
15 Ti 0.594 0.374 0.088
16 Ti 0.088 0.594 0.374
17 Ti 0.626 0.912 0.406
18 Ti 0.406 0.626 0.912
19 Ti 0.912 0.406 0.626